Model 1:
Mn2GaO4: relaxed, PBE with a Hubbard U.

The calculated density comes out at 5.0 g cm⁻³.

The space group is P4_122 (No. 91) and the conventional cell measures 5.970, 5.970 and 9.076 Å, with angles of 90.00, 90.00 and 90.00 degrees. The asymmetric unit holds Mn at (0.000, 0.254, 0.000), Mn at (0.248, 0.248, 0.375), Ga at (0.251, 0.500, 0.750), O at (0.035, 0.250, 0.754) and O at (0.251, 0.478, 0.982).

=====

Model 2:
Mn2GaO4: relaxed, PBE with a Hubbard U.

The calculated density comes out at 5.2 g cm⁻³.

The space group is Cmmm (No. 65) and the conventional cell measures 5.295, 9.914 and 2.940 Å, with angles of 90.00, 90.00 and 90.00 degrees. The asymmetric unit holds Mn at (0.000, 0.174, 0.000), Ga at (0.000, 0.500, 0.500), O at (0.241, 0.500, 0.000) and O at (0.250, 0.250, 0.500).

=====

Relative to the most stable structure, the computed energies are model 1 0.000; model 2 0.230, all in eV/atom.